{
  "formula": "K2Hf2MgTe6",
  "functional": "PBE",
  "state": "relaxed",
  "crystal_system": "monoclinic",
  "raw_formation_energy_ev_per_atom": -0.9254,
  "lattice": [[3.6286, -6.3215, 0.0000], [3.6286, 6.3215, 0.0000], [-2.4045, 0.0000, 8.4549]],
  "species": ["K", "K", "Hf", "Hf", "Mg", "Te", "Te", "Te", "Te", "Te", "Te"],
  "fractional_positions": [[0.1634, 0.8366, 0.0000], [0.8366, 0.1634, 0.0000], [0.3321, 0.6679, 0.5000], [0.6679, 0.3321, 0.5000], [0.0000, 0.0000, 0.5000], [0.0664, 0.4067, 0.6969], [0.2800, 0.2800, 0.3044], [0.4067, 0.0664, 0.6969], [0.5933, 0.9336, 0.3031], [0.7200, 0.7200, 0.6956], [0.9336, 0.5933, 0.3031]]
}

{
  "formula": "SrMg2Mo",
  "functional": "PBE",
  "state": "relaxed",
  "crystal_system": "trigonal",
  "delta_e_f_ev_per_atom": 0.65,
  "polymorph_energy_ev_per_atom": 0.160,
  "lattice": [[1.5846, 0.9149, 10.8219], [-1.5846, 0.9149, 10.8219], [0.0000, -1.8297, 10.8219]],
  "species": ["Sr", "Mg", "Mg", "Mo"],
  "fractional_positions": [[0.0000, 0.0000, 0.0000], [0.5169, 0.5169, 0.5169], [0.7660, 0.7660, 0.7660], [0.2528, 0.2528, 0.2528]]
}

{
  "formula": "Mn2RhBr",
  "functional": "PBE",
  "state": "relaxed",
  "crystal_system": "orthorhombic",
  "raw_formation_energy_ev_per_atom": 0.4778,
  "polymorph_energy_ev_per_atom": 0.440,
  "lattice": [[-1.6167, 2.3933, 4.2736], [1.6167, -2.3933, 4.2736], [1.6167, 2.3933, -4.2736]],
  "species": ["Mn", "Mn", "Rh", "Br"],
  "fractional_positions": [[0.2501, 0.2501, 0.0000], [0.7499, 0.7499, 0.0000], [0.5000, 0.0000, 0.5000], [0.0000, 0.5000, 0.5000]]
}

{
  "formula": "Hg2AsI8",
  "functional": "PBE",
  "state": "relaxed",
  "crystal_system": "monoclinic",
  "raw_formation_energy_ev_per_atom": -0.1485,
  "lattice": [[6.7057, -5.9620, 0.0000], [6.7057, 5.9620, 0.0000], [-2.4466, 0.0000, 6.9894]],
  "species": ["Hg", "Hg", "As", "I", "I", "I", "I", "I", "I", "I", "I"],
  "fractional_positions": [[0.1908, 0.1908, 0.2080], [0.8092, 0.8092, 0.7920], [0.0000, 0.0000, 0.5000], [0.0932, 0.7377, 0.6741], [0.1974, 0.1974, 0.8211], [0.2623, 0.9068, 0.3259], [0.4124, 0.4124, 0.2908], [0.5876, 0.5876, 0.7092], [0.7377, 0.0932, 0.6741], [0.8026, 0.8026, 0.1789], [0.9068, 0.2623, 0.3259]]
}

{
  "formula": "LiMn2As",
  "functional": "PBE",
  "state": "relaxed",
  "crystal_system": "tetragonal",
  "delta_e_f_ev_per_atom": 0.08,
  "lattice": [[3.2317, 0.0000, 0.0000], [0.0000, 3.2317, 0.0000], [0.0000, 0.0000, 5.3045]],
  "species": ["Li", "Mn", "Mn", "As"],
  "fractional_positions": [[0.0000, 0.0000, 0.0000], [0.5000, 0.5000, 0.2552], [0.5000, 0.5000, 0.7448], [0.0000, 0.0000, 0.5000]]
}

{
  "formula": "Ca6Ag5",
  "functional": "PBE",
  "state": "relaxed",
  "crystal_system": "orthorhombic",
  "delta_e_f_ev_per_atom": -0.27,
  "lattice": [[-2.6188, 3.7200, 7.8513], [2.6188, -3.7200, 7.8513], [2.6188, 3.7200, -7.8513]],
  "species": ["Ca", "Ca", "Ca", "Ca", "Ca", "Ca", "Ag", "Ag", "Ag", "Ag", "Ag"],
  "fractional_positions": [[0.0839, 0.3337, 0.7502], [0.2502, 0.0000, 0.2502], [0.4166, 0.6663, 0.7502], [0.5834, 0.3337, 0.2498], [0.7498, 0.0000, 0.7498], [0.9161, 0.6663, 0.2498], [0.0000, 0.5000, 0.5000], [0.1671, 0.1671, 0.0000], [0.3312, 0.8312, 0.5000], [0.6688, 0.1688, 0.5000], [0.8329, 0.8329, 0.0000]]
}